Density functional theory data (PBE) for a relaxed Li2AgIBr2 crystal.

```
data_Li2AgIBr2
_cell_length_a 13.179
_cell_length_b 7.534
_cell_length_c 7.112
_cell_angle_alpha 90.00
_cell_angle_beta 90.00
_cell_angle_gamma 90.00
_symmetry_space_group_name_H-M 'C m c 21'
_symmetry_Int_Tables_number 36
_symmetry_space_group_name_Hall 'C 2c -2'
loop_
_atom_site_label
_atom_site_type_symbol
_atom_site_fract_x
_atom_site_fract_y
_atom_site_fract_z
_atom_site_occupancy
Li1 Li 0.181 0.151 0.000 1
Ag1 Ag 0.000 0.326 0.518 1
I1 I 0.000 0.310 0.120 1
Br1 Br 0.177 0.161 0.640 1
```

Properties
Fermi-level density of states, states/eV per cell: 0.00
ΔE_f (raw), eV/atom: -1.072